Below is TaBeFe4 after structural relaxation, with properties calculated at the PBE level.

Cell: 6.620 6.620 6.620 Å, 90.00 90.00 90.00°
Space group F-43m (No. 216)
One atom of each set of equivalent atoms:
1 Ta 0.000 0.000 0.000 x4
2 Be 0.250 0.250 0.750 x4
3 Fe 0.124 0.124 0.376 x16

Results
For the volume, the calculation gives 12.1 Å³/atom. The value obtained for the magnetic moment is 0.95 μB/atom. The energy relative to the elements is -0.039 eV/atom. As for the total energy: -8.278 eV/atom. As for the calculated density: 9.5 g/cm³.